Material: CrNiO2F
Method: DFT, PBE with a Hubbard U
State: optimized geometry

Cell lengths 3.807, 3.807, 3.782 Å; angles 90.00, 90.00, 90.00 degrees
Site moments in Bohr magnetons follow the coordinates.
Atoms (fractional coordinates):
O (0.500, 0.000, 0.000)  -0.32
O (0.000, 0.500, 0.000)  -0.32
Ni (0.000, 0.000, 0.000)  1.48
F (0.000, 0.000, 0.500)  0.07
Cr (0.500, 0.500, 0.500)  3.94

Properties
N(E_F): 2.34 states/eV/cell
E: -26.3 eV for the cell shown